CeAl3Co | Alexandria via LeMat-Bulk | PBE | relaxed; magnetization = 1.53 μB per cell; DFT total energy = -0.19200 Ha/atom; polymorph energy (0 for the lowest one) = 130 meV/atom; calculated volume = 18.8 Å³ per atom; symmetry = Pm-3m, No. 221; crystal system = cubic
1.0
-0.838 2.246 -3.859
-4.465 -0.380 0.749
0.047 3.931 2.277
Co Al Ce
1 3 1
direct
0.000 0.000 0.000 Co
0.000 0.500 0.000 Al
0.000 0.000 0.500 Al
0.500 0.000 0.000 Al
0.500 0.500 0.500 Ce

Ho3ErNi8 | Alexandria via LeMat-Bulk | PBE | relaxed; magnetization = 0.00 μB per cell; DFT total energy = -0.21488 Ha/atom; calculated volume = 15.2 Å³ per atom; symmetry = R3m, No. 160; crystal system = trigonal
1.0
-0.561 0.946 4.921
-3.145 -2.810 2.765
4.931 -5.843 4.269
Ho Er Ni
3 1 8
direct
0.375 0.375 0.875 Ho
0.000 0.000 0.001 Ho
0.500 0.500 0.500 Ho
0.875 0.875 0.375 Er
0.937 0.437 0.188 Ni
0.438 0.937 0.687 Ni
0.437 0.437 0.188 Ni
0.937 0.937 0.687 Ni
0.188 0.188 0.437 Ni
0.688 0.688 0.937 Ni
0.437 0.937 0.188 Ni
0.937 0.438 0.687 Ni

SrGa3NiPd | Alexandria via LeMat-Bulk | PBE | relaxed; magnetization = 0.00 μB per cell; DFT total energy = -0.14812 Ha/atom; calculated volume = 21.3 Å³ per atom; symmetry = Cmcm, No. 63; crystal system = orthorhombic
1.0
6.335 0.000 0.000
0.000 7.089 0.000
0.000 -3.545 5.699
Sr Ga Ni Pd
2 6 2 2
direct
0.750 0.264 0.529 Sr
0.250 0.736 0.471 Sr
0.250 0.217 0.435 Ga
0.000 0.246 0.000 Ga
0.500 0.754 0.000 Ga
0.500 0.246 0.000 Ga
0.000 0.754 0.000 Ga
0.750 0.783 0.565 Ga
0.250 0.023 0.045 Ni
0.750 0.977 0.955 Ni
0.250 0.427 0.855 Pd
0.750 0.573 0.145 Pd

K2InW | Alexandria via LeMat-Bulk | PBE | relaxed; magnetization = 0.00 μB per cell; DFT total energy = -0.13014 Ha/atom; calculated volume = 28.1 Å³ per atom; symmetry = Cmm2, No. 35; crystal system = orthorhombic
1.0
-2.096 -1.860 -1.144
2.029 -2.246 -0.040
-3.340 -3.217 11.348
In K W
1 2 1
direct
0.500 0.500 0.714 In
0.000 0.000 0.948 K
0.500 0.500 0.302 K
0.000 0.000 0.536 W

Pr6Te5I | Alexandria via LeMat-Bulk | PBE | relaxed; magnetization = 0.00 μB per cell; DFT total energy = -0.18991 Ha/atom; calculated volume = 33.3 Å³ per atom; E_form (uncorrected) = -1.340 eV/atom; symmetry = C2/m, No. 12; crystal system = monoclinic
1.0
7.711 0.183 1.169
1.878 6.689 3.891
0.116 0.124 7.880
Pr I Te
6 1 5
direct
0.726 0.096 0.353 Pr
0.274 0.551 0.353 Pr
0.244 0.281 0.000 Pr
0.756 0.719 0.000 Pr
0.726 0.449 0.647 Pr
0.274 0.904 0.647 Pr
0.000 0.000 0.000 I
0.500 0.151 0.699 Te
0.000 0.325 0.351 Te
0.500 0.500 0.000 Te
0.000 0.675 0.649 Te
0.500 0.849 0.301 Te

Ba2Cd2In5 | Alexandria via LeMat-Bulk | PBE | relaxed; magnetization = 0.00 μB per cell; DFT total energy = -0.08862 Ha/atom; calculated volume = 31.1 Å³ per atom; symmetry = P4/mmm, No. 123; crystal system = tetragonal
1.0
4.968 0.000 0.000
0.000 4.968 0.000
0.000 0.000 11.329
Ba Cd In
2 2 5
direct
0.000 0.000 0.000 Ba
0.000 0.000 0.500 Ba
0.500 0.500 0.124 Cd
0.500 0.500 0.876 Cd
0.500 0.000 0.275 In
0.500 0.000 0.725 In
0.000 0.500 0.275 In
0.000 0.500 0.725 In
0.500 0.500 0.500 In

YSc2Cu2Si2 | Alexandria via LeMat-Bulk | PBE | relaxed; magnetization = 0.00 μB per cell; DFT total energy = -0.21976 Ha/atom; calculated volume = 18.3 Å³ per atom; E_form (uncorrected) = -0.528 eV/atom; symmetry = R-3m, No. 166; crystal system = trigonal
1.0
4.160 0.000 0.000
2.080 3.603 0.000
2.080 1.201 8.534
Y Sc Cu Si
1 2 2 2
direct
0.000 0.000 0.000 Y
0.131 0.131 0.607 Sc
0.869 0.869 0.393 Sc
0.590 0.590 0.229 Cu
0.410 0.410 0.771 Cu
0.745 0.745 0.766 Si
0.255 0.255 0.234 Si

Pr2Er2Cd | Alexandria via LeMat-Bulk | PBE | relaxed; magnetization = 0.16 μB per cell; DFT total energy = -0.14811 Ha/atom; polymorph energy (0 for the lowest one) = 0 meV/atom; calculated volume = 30.9 Å³ per atom; symmetry = I4/mmm, No. 139; crystal system = tetragonal
1.0
-0.838 -0.552 -3.489
3.299 -1.404 -0.570
-5.309 -9.685 4.698
Pr Er Cd
2 2 1
direct
0.808 0.808 0.616 Pr
0.192 0.192 0.384 Pr
0.584 0.584 0.168 Er
0.416 0.416 0.832 Er
0.000 0.000 0.000 Cd

TbHfAg2 | Alexandria via LeMat-Bulk | PBE | relaxed; magnetization = 0.75 μB per cell; DFT total energy = -0.18792 Ha/atom; polymorph energy (0 for the lowest one) = 26 meV/atom; calculated volume = 21.9 Å³ per atom; symmetry = P4/mmm, No. 123; crystal system = tetragonal
1.0
-1.376 -1.485 2.800
4.445 0.294 2.341
-1.245 4.535 1.794
Hf Tb Ag
1 1 2
direct
0.500 0.000 0.000 Hf
0.500 0.500 0.500 Tb
0.000 0.000 0.500 Ag
0.000 0.500 0.000 Ag

La4ScBr | Alexandria via LeMat-Bulk | PBE | relaxed; magnetization = 2.48 μB per cell; DFT total energy = -0.16100 Ha/atom; calculated volume = 34.6 Å³ per atom; E_form (uncorrected) = 0.238 eV/atom; symmetry = F-43m, No. 216; crystal system = cubic
1.0
-0.624 -5.615 3.505
2.745 -0.473 6.037
-3.865 -0.131 5.408
La Sc Br
4 1 1
direct
0.862 0.379 0.379 La
0.379 0.379 0.862 La
0.379 0.862 0.379 La
0.379 0.379 0.379 La
0.750 0.750 0.750 Sc
0.000 0.000 0.000 Br

Er6AuSe4 | Alexandria via LeMat-Bulk | PBE | relaxed; magnetization = 0.00 μB per cell; DFT total energy = -0.20111 Ha/atom; calculated volume = 24.6 Å³ per atom; E_form (uncorrected) = -1.419 eV/atom; symmetry = Cmcm, No. 63; crystal system = orthorhombic
1.0
4.000 0.000 0.000
-2.000 6.575 0.000
0.000 0.000 20.558
Er Au Se
12 2 8
direct
0.500 0.000 0.000 Er
0.500 0.000 0.500 Er
0.057 0.115 0.333 Er
0.943 0.885 0.667 Er
0.943 0.885 0.833 Er
0.057 0.115 0.167 Er
0.770 0.541 0.405 Er
0.230 0.459 0.595 Er
0.230 0.459 0.905 Er
0.770 0.541 0.095 Er
0.327 0.654 0.250 Er
0.673 0.346 0.750 Er
0.665 0.329 0.250 Au
0.335 0.671 0.750 Au
0.858 0.716 0.537 Se
0.415 0.831 0.124 Se
0.142 0.284 0.463 Se
0.585 0.169 0.876 Se
0.858 0.716 0.963 Se
0.142 0.284 0.037 Se
0.585 0.169 0.624 Se
0.415 0.831 0.376 Se

LiAg3 | Alexandria via LeMat-Bulk | PBE | relaxed; magnetization = 0.00 μB per cell; DFT total energy = -0.09976 Ha/atom; calculated volume = 17.3 Å³ per atom; symmetry = Fm-3m, No. 225; crystal system = cubic
1.0
4.607 0.000 0.000
2.304 3.990 0.000
2.304 1.330 3.762
Ag Li
3 1
direct
0.000 0.000 0.000 Ag
0.250 0.250 0.250 Ag
0.500 0.500 0.500 Ag
0.750 0.750 0.750 Li

AcGdInAu | Alexandria via LeMat-Bulk | PBE | relaxed; magnetization = 7.44 μB per cell; DFT total energy = -0.24238 Ha/atom; calculated volume = 29.4 Å³ per atom; symmetry = F-43m, No. 216; crystal system = cubic
1.0
-3.492 2.915 -3.087
-0.654 -1.231 -5.318
-4.692 -2.277 -1.737
Ac Gd Au In
1 1 1 1
direct
0.250 0.250 0.250 Ac
0.750 0.750 0.750 Gd
0.000 0.000 0.000 Au
0.500 0.500 0.500 In

HfMgZr2H8 | Alexandria via LeMat-Bulk | PBE | relaxed; magnetization = 0.00 μB per cell; DFT total energy = -0.18687 Ha/atom; calculated volume = 8.9 Å³ per atom; symmetry = I-4m2, No. 119; crystal system = tetragonal
1.0
-1.426 -3.776 2.432
4.304 -0.421 1.870
-2.743 4.934 1.487
Hf Mg Zr H
1 1 2 8
direct
0.250 0.750 0.500 Hf
0.500 0.500 0.000 Mg
0.750 0.250 0.500 Zr
0.000 0.000 0.000 Zr
0.129 0.627 0.750 H
0.621 0.627 0.750 H
0.373 0.379 0.250 H
0.877 0.871 0.250 H
0.621 0.123 0.750 H
0.373 0.871 0.250 H
0.129 0.123 0.750 H
0.877 0.379 0.250 H

Ti2GaO | Alexandria via LeMat-Bulk | PBE | relaxed; magnetization = 0.00 μB per cell; DFT total energy = -0.23147 Ha/atom; polymorph energy (0 for the lowest one) = 1104 meV/atom; calculated volume = 13.9 Å³ per atom; E_form (uncorrected) = -0.355 eV/atom; symmetry = Fm-3m, No. 225; crystal system = cubic
1.0
0.000 3.029 3.029
3.029 0.000 3.029
3.029 3.029 0.000
O Ga Ti
1 1 2
direct
0.000 0.000 0.000 O
0.500 0.500 0.500 Ga
0.250 0.250 0.250 Ti
0.750 0.750 0.750 Ti

BaCoTc3 | Alexandria via LeMat-Bulk | PBE | relaxed; magnetization = 1.62 μB per cell; DFT total energy = -0.16803 Ha/atom; polymorph energy (0 for the lowest one) = 2154 meV/atom; calculated volume = 23.0 Å³ per atom; symmetry = Pm-3m, No. 221; crystal system = cubic
1.0
4.866 0.000 0.000
0.000 4.866 0.000
0.000 0.000 4.866
Co Ba Tc
1 1 3
direct
0.500 0.500 0.500 Co
0.000 0.000 0.000 Ba
0.000 0.500 0.000 Tc
0.000 0.000 0.500 Tc
0.500 0.000 0.000 Tc

Np2Ga2CoGe4 | Alexandria via LeMat-Bulk | PBE | relaxed; magnetization = 7.87 μB per cell; DFT total energy = -0.24242 Ha/atom; calculated volume = 18.0 Å³ per atom; symmetry = I4/mmm, No. 139; crystal system = tetragonal
1.0
6.089 -0.008 -0.012
-2.930 5.338 0.012
-2.930 -1.864 5.002
Np Ga Co Ge
2 2 1 4
direct
0.500 0.750 0.250 Np
0.500 0.250 0.750 Np
0.000 0.720 0.720 Ga
0.000 0.280 0.280 Ga
0.000 0.000 0.000 Co
0.000 0.730 0.270 Ge
0.460 0.730 0.730 Ge
0.000 0.270 0.730 Ge
0.540 0.270 0.270 Ge

AcErHgAu | Alexandria via LeMat-Bulk | PBE | relaxed; magnetization = 0.00 μB per cell; DFT total energy = -0.13366 Ha/atom; calculated volume = 27.9 Å³ per atom; symmetry = F-43m, No. 216; crystal system = cubic
1.0
-1.922 4.107 -2.940
-4.618 2.417 1.428
0.083 5.022 1.994
Ac Au Hg Er
1 1 1 1
direct
0.250 0.250 0.250 Ac
0.000 0.000 0.000 Au
0.500 0.500 0.500 Hg
0.750 0.750 0.750 Er

YBeCd2 | Alexandria via LeMat-Bulk | PBE | relaxed; magnetization = 0.00 μB per cell; DFT total energy = -0.10799 Ha/atom; calculated volume = 20.8 Å³ per atom; symmetry = Immm, No. 71; crystal system = orthorhombic
1.0
-2.300 1.671 5.049
1.330 -3.107 4.706
2.036 3.238 -4.352
Y Be Cd
1 1 2
direct
0.750 0.250 0.500 Y
0.250 0.750 0.500 Be
0.040 0.040 0.000 Cd
0.460 0.460 0.000 Cd

LiLuHg2 | Alexandria via LeMat-Bulk | PBE | relaxed; magnetization = 0.00 μB per cell; DFT total energy = -0.07932 Ha/atom; polymorph energy (0 for the lowest one) = 16 meV/atom; calculated volume = 22.4 Å³ per atom; symmetry = P4/mmm, No. 123; crystal system = tetragonal
1.0
-2.459 -1.834 -1.521
3.557 -2.920 -2.229
-0.104 -3.181 4.002
Lu Hg Li
1 2 1
direct
0.500 0.500 0.500 Lu
0.000 0.000 0.500 Hg
0.000 0.500 0.000 Hg
0.500 0.000 0.000 Li